## ScAlZn2Au4 (GGA-PBE)

Data for an optimized crystal structure of ScAlZn2Au4.

The value obtained for the density of states at the Fermi level is 8.4 states/eV per cell. The energy relative to the elements is -0.4343 eV per atom.

It has space group R-3m (No. 166, hexagonal axes), with a = 4.5323 Å, b = 4.5323 Å, c = 23.2713 Å, α = 90.00°, β = 90.00° and γ = 120.00°. The distinct sites, in fractional coordinates, are Sc at (0.0000, 0.0000, 0.0000), Al at (0.0000, 0.0000, 0.5000), Zn at (0.0000, 0.0000, 0.2561), Au at (0.0000, 0.0000, 0.1287) and Au at (0.0000, 0.0000, 0.3862).